A plane-wave DFT calculation with PBE with a Hubbard U was carried out for an optimized crystal structure of V3CrF.

abc: 4.5582 4.5582 4.5582
angles: 90.00 90.00 90.00
Fractional positions:
V1 0.0000 0.0000 0.5000
V2 0.0000 0.5000 0.0000
V3 0.5000 0.0000 0.0000
Cr1 0.5000 0.5000 0.5000
F1 0.0000 0.0000 0.0000

Summary:
* DOS(E_F): 4.5 states/eV per cell
* total DFT energy (no corrections): -5.62 eV/atom